Tb2Nd2Sm | the Alexandria database | GGA-PBE | optimized geometry; ΔE_f = 0.264 eV per atom; total DFT energy (no corrections) = -4.44 eV per atom; ΔE to the lowest computed polymorph = 238.6 meV per atom
1.0
-8.1528 -2.8451 -3.3814
0.3472 -7.0825 5.9762
1.0634 6.0716 1.7835
Nd Sm Tb
4 2 4
Cartesian
-1.3987 -0.0371 2.4229
-3.7657 -1.3046 3.9989
-2.9766 -2.5513 0.3794
-5.3436 -3.8188 1.9554
0.0194 -5.2686 5.7686
-6.7617 1.4127 -1.3903
-6.2051 -2.1656 -1.0840
-0.5372 -1.6903 5.4623
-2.1021 -4.2110 3.4330
-4.6402 0.3551 0.9453